## KTc2Au (PBE-GGA)

Data for crystalline KTc2Au at its relaxed geometry.

Results
SG   No. 65
Energy relative to the lowest polymorph listed for this composition   660 meV/atom
Size of the total moment   0.000 Bohr magnetons per cell
DOS at the Fermi energy   4.2 states/eV per cell

Unit cell a=5.866 b=5.866 c=2.596 alpha=90.00 beta=90.00 gamma=123.99
Sites, in units of the cell vectors:
1 Au 0.500 0.000 0.500
2 K 0.000 0.500 0.500
3 Tc 0.000 0.000 0.000
4 Tc 0.500 0.500 0.000